DFT (PBE) results for a relaxed structure of Na4Er3ThTe8.

Values from the calculation:
- Energy relative to the elements, uncorrected: -1.24 eV/atom
- M_tot: 0.0 μB/cell
- Density of states at the Fermi level: 13.99 states/eV/cell
- Raw total energy: -4.464 eV/atom

```
data_Na4Er3ThTe8
_cell_length_a 8.8017
_cell_length_b 8.8017
_cell_length_c 22.8276
_cell_angle_alpha 90.00
_cell_angle_beta 90.00
_cell_angle_gamma 120.00
_symmetry_space_group_name_H-M 'R -3 m'
_symmetry_Int_Tables_number 166
_symmetry_space_group_name_Hall '-R 3 2"'
loop_
_atom_site_label
_atom_site_type_symbol
_atom_site_fract_x
_atom_site_fract_y
_atom_site_fract_z
Na1 Na 0.0000 0.0000 0.0000
Na2 Na 0.0000 0.5000 0.0000
Er1 Er 0.0000 0.5000 0.5000
Th1 Th 0.0000 0.0000 0.5000
Te1 Te 0.0000 0.0000 0.2434
Te2 Te 0.0060 0.5030 0.7548
```